# 1
Sc2Ti2Ge2C: relaxed, PBE-GGA.

abc: 4.103 4.103 7.692
angles: 105.47 105.47 90.00
Sites, in units of the cell vectors:
C  0.000  0.000  0.000
Sc  0.163  0.163  0.326
Ti  0.500  0.000  0.000
Ge  0.635  0.635  0.270
Ge  0.365  0.365  0.730
Sc  0.837  0.837  0.674
Ti  0.000  0.500  0.000

- Formation energy from the elements: -797 meV per atom
- Final energy: -7.499 eV per atom

=====

# 2
ScTl2GeC: relaxed, PBE-GGA.

abc: 4.862 4.488 4.862
angles: 90.00 90.00 90.00
Sites, in units of the cell vectors:
Sc  0.000  0.500  0.000
Ge  0.500  0.500  0.500
Tl  0.500  0.000  0.000
Tl  0.000  0.000  0.500
C  0.000  0.000  0.000

- Formation energy from the elements: 524 meV per atom
- Final energy: -4.457 eV per atom

=====

# 3
Tm2ScGeC: relaxed, PBE-GGA.

abc: 4.473 4.732 4.732
angles: 90.00 90.00 90.00
Sites, in units of the cell vectors:
Ge  0.500  0.500  0.500
Sc  0.500  0.000  0.000
C  0.000  0.000  0.000
Tm  0.000  0.500  0.000
Tm  0.000  0.000  0.500

- Formation energy from the elements: -630 meV per atom
- Final energy: -6.454 eV per atom